The following is a DFT calculation (GGA-PBE) of crystalline LiHo3Tl2 at its relaxed geometry.

POSCAR file:
```
LiHo3Tl2
1.0
6.416 0.000 0.000
0.000 6.401 0.000
-3.208 -3.200 7.977
Li Ho Tl
2 6 4
direct
0.000 0.750 0.000
0.000 0.250 0.000
0.500 0.250 0.000
0.408 0.677 0.355
0.592 0.323 0.645
0.500 0.750 0.000
0.947 0.177 0.355
0.053 0.823 0.645
0.113 0.370 0.740
0.373 0.130 0.260
0.887 0.630 0.260
0.627 0.870 0.740
```

Results
- Distance to the lowest polymorph of the same formula: 32 meV/atom
- Space-group type: Ibam
- E: -3.61 eV/atom
- Calculated formation energy: -0.209 eV/atom